An optimized crystal structure of La2VSbW, computed with GGA-PBE.

## Properties
energy relative to the elements, uncorrected: 1281 meV/atom
E: -5.929 eV per atom
calculated density: 6.121 Mg/m³

Cell: 5.956 5.956 4.851 Å, 90.00 90.00 90.00°
Fractional positions:
La: 0.000 0.500 0.000
La: 0.500 0.000 0.000
V: 0.000 0.000 0.500
Sb: 0.000 0.000 0.000
W: 0.500 0.500 0.500